Below is an optimized crystal structure of NbGe2, with properties calculated at the GGA-PBE level.

Properties
Energy relative to the elements ... -284 meV/atom
Crystal system ... tetragonal
Space group ... I4/mmm, No. 139
Spin magnetization ... 0.00 μB/cell

Cell: 3.408 3.408 4.922 Å, 110.28 110.28 90.03°
Fractional coordinates of all 3 atoms:
Ge: 0.836 0.836 0.673
Nb: 0.500 0.500 0.000
Ge: 0.164 0.164 0.327